Entry 1:
Computed, not measured: a relaxed structure of LaNd4Er2Tm at the PBE level of DFT.

```
LaNd4Er2Tm
1.0
5.1479 0.0000 0.0000
0.0001 11.3626 -1.1095
0.0001 2.7226 4.3284
Nd La Er Tm
4 1 2 1
Cartesian
0.0001 10.5980 2.3934 Nd
2.5740 9.2412 0.2247 Nd
2.5740 4.8441 2.9942 Nd
5.1479 3.4872 0.8254 Nd
2.5740 5.6811 -0.5546 La
5.1479 2.7228 4.3283 Er
2.5740 1.3615 2.1641 Er
5.1480 7.0424 1.6096 Tm
```

Values from the calculation:
SG = Pmmm, No. 47
total moment = 0.00 μB per cell
mass density = 7.534 Mg/m³
ΔE_f = 19.0 meV/atom
calculated total energy = -4.68 eV per atom



Entry 2:
Computed, not measured: a relaxed structure of Rb2Cu2TeS6 at the PBE level of DFT.

```
Rb2Cu2TeS6
1.0
6.4356 0.0000 0.0000
-3.2178 6.5177 -0.1366
0.0000 -3.9441 7.3348
Cu Rb S Te
2 2 6 1
Cartesian
0.0000 0.4125 2.3081 Cu
3.2178 2.1610 4.8902 Cu
0.0000 0.3854 6.1574 Rb
3.2178 2.1881 1.0409 Rb
3.2178 0.0398 5.2639 S
1.5964 -1.0067 1.9162 S
4.8392 -1.0067 1.9162 S
-1.6214 3.5802 5.2821 S
0.0000 2.5337 1.9344 S
1.6214 3.5802 5.2821 S
3.2178 -1.9721 3.6674 Te
```

Values from the calculation:
energy relative to the elements, uncorrected = -0.246 eV per atom
SG = C2/m, No. 12
total moment = 0.00 μB per cell
mass density = 3.374 Mg/m³
calculated total energy = -3.70 eV per atom



Entry 3:
Computed, not measured: a relaxed structure of Zn2PSe at the PBE level of DFT.

```
Zn2PSe
1.0
1.8235 -2.1207 0.0000
1.8235 2.1207 0.0000
0.0000 0.0000 9.5444
Zn P Se
2 1 1
Cartesian
1.8235 0.0000 7.2198 Zn
0.0000 0.0000 9.2193 Zn
0.0000 0.0000 5.4418 P
1.8235 0.0000 1.9803 Se
```

Values from the calculation:
energy relative to the elements, uncorrected = 0.298 eV per atom
SG = Cmm2, No. 35
total moment = 0.00 μB per cell
mass density = 5.416 Mg/m³
calculated total energy = -2.56 eV per atom



Entry 4:
Computed, not measured: a relaxed structure of LaPr2NdSm at the PBE level of DFT.

```
LaPr2NdSm
1.0
6.8828 0.0000 0.0000
0.0000 8.2741 1.3267
0.0000 -1.2100 6.2493
Nd Sm Pr La
2 2 4 2
Cartesian
5.7775 3.8346 2.2257 Nd
1.1053 3.2296 5.3503 Nd
3.9904 -0.3025 1.5623 Sm
2.8924 -0.9075 4.6870 Sm
2.1407 2.2224 1.8883 Pr
2.1407 5.4467 2.5630 Pr
4.7420 4.8417 5.6877 Pr
4.7420 1.6174 5.0130 Pr
0.0000 0.0000 0.0000 La
0.0000 -0.6050 3.1247 La
```

Values from the calculation:
SG = P2/c, No. 13
total moment = 0.00 μB per cell
mass density = 6.474 Mg/m³
ΔE_f = 241.0 meV/atom
calculated total energy = -4.55 eV per atom



Entry 5:
Computed, not measured: a relaxed structure of Lu2FeHg at the PBE level of DFT.

```
Lu2FeHg
1.0
3.3393 0.0000 0.0000
0.0000 3.3393 0.0000
0.0000 0.0000 7.4290
Fe Hg Lu
1 1 2
Cartesian
1.6697 1.6697 0.0000 Fe
1.6697 1.6697 3.7145 Hg
0.0000 0.0000 1.5702 Lu
0.0000 0.0000 5.8588 Lu
```

Values from the calculation:
SG = P4/mmm, No. 123
total moment = 0.00 μB per cell
mass density = 12.155 Mg/m³
E above lowest polymorph = 0 meV/atom
ΔE_f = -237.7 meV/atom
calculated total energy = -4.69 eV per atom



Entry 6:
Computed, not measured: a relaxed structure of SnRh3Se5 at the PBE level of DFT.

```
SnRh3Se5
1.0
7.2700 0.4572 0.0930
2.4299 6.8671 0.0930
2.9987 2.2643 8.0537
Rh Sn Se
6 2 10
Cartesian
5.3169 4.0147 5.3980 Rh
9.1288 6.8931 6.9479 Rh
3.5697 2.6955 1.2919 Rh
1.4993 1.1321 4.0268 Rh
0.0000 0.0000 0.0000 Rh
7.3817 5.5739 2.8417 Rh
9.4525 7.1375 2.8369 Sn
3.2461 2.4511 5.4028 Sn
7.3363 5.5396 5.3728 Se
3.5909 5.7912 5.1980 Se
7.6537 5.7792 0.4004 Se
5.7903 2.4167 0.0930 Se
5.3623 4.0490 2.8669 Se
5.0449 3.8094 7.8393 Se
9.1077 3.7974 3.0417 Se
6.1456 7.7202 3.0417 Se
6.5529 1.8683 5.1980 Se
3.9095 4.9076 0.0930 Se
```

Values from the calculation:
energy relative to the elements, uncorrected = -0.232 eV per atom
SG = C2/m, No. 12
total moment = 0.00 μB per cell
mass density = 6.996 Mg/m³
calculated total energy = -5.06 eV per atom



Entry 7:
Computed, not measured: a relaxed structure of InPW at the PBE level of DFT.

```
InPW
1.0
-7.2730 3.5580 0.4441
-7.5141 1.2039 2.1486
0.4775 2.4329 1.5357
In W P
1 1 1
Cartesian
0.2033 2.4747 1.5547 In
-9.9709 4.0270 2.2592 W
-4.0645 3.1258 1.8502 P
```

Values from the calculation:
SG = Fmm2, No. 42
total moment = 0.00 μB per cell
mass density = 8.987 Mg/m³
E above lowest polymorph = 334 meV/atom
ΔE_f = 401.0 meV/atom
calculated total energy = -6.63 eV per atom



Entry 8:
Computed, not measured: a relaxed structure of YTl2Hg at the PBE level of DFT.

```
YTl2Hg
1.0
10.4298 0.0526 0.0310
9.7822 3.6183 0.0310
9.7822 1.7766 3.1522
Tl Y Hg
2 1 1
Cartesian
7.4169 1.3470 0.7948 Tl
0.0838 0.0152 0.0090 Tl
14.8918 2.7046 1.5958 Y
22.5989 4.1043 2.4218 Hg
```

Values from the calculation:
SG = R3m, No. 160
total moment = 0.00 μB per cell
mass density = 9.977 Mg/m³
ΔE_f = -117.2 meV/atom
calculated total energy = -2.99 eV per atom



- Among the records above, which one has the highest mass density?
  Lu2FeHg



- The highest mass density belongs to which entry?
  Lu2FeHg



- Number 8 is which compound?
  YTl2Hg